VASP calculation (PBE-GGA) on a geometry-optimized Tl2CdRu structure.

Output
- formation energy from the elements (eV/f.u.) = 1.92
- energy relative to the lowest polymorph listed for this composition (meV per atom) = 185
- calculated volume (Å³ per atom) = 21.67

Cell: 5.386 5.386 5.163 Å, 73.12 73.12 37.44°
Atoms (fractional coordinates):
Cd 0.250 0.250 0.250
Ru 0.750 0.750 0.750
Tl 0.023 0.023 0.974
Tl 0.477 0.477 0.526